Run 1
A PBEsol-optimized structure of Cd2BiAu2. Source: Alexandria via LeMat-Bulk, functional meta-GGA SCAN.

a = 4.035 Å, b = 4.035 Å, c = 7.225 Å
α = 106.21°, β = 106.21°, γ = 90.00°
Atoms (fractional coordinates):
1 Cd 0.250 0.750 0.500
2 Cd 0.750 0.250 0.500
3 Au 0.398 0.398 0.797
4 Au 0.602 0.602 0.203
5 Bi 0.000 0.000 0.000

***

Run 2
A PBEsol-optimized structure of Cd2BiAu2. Source: Alexandria via LeMat-Bulk, functional meta-GGA SCAN.

a = 3.152 Å, b = 8.121 Å, c = 8.121 Å
α = 90.00°, β = 90.00°, γ = 90.00°
Atoms (fractional coordinates):
1 Au 0.000 0.131 0.369
2 Au 0.000 0.869 0.631
3 Au 0.000 0.369 0.869
4 Au 0.000 0.631 0.131
5 Bi 0.000 0.500 0.500
6 Bi 0.000 0.000 0.000
7 Cd 0.500 0.665 0.835
8 Cd 0.500 0.835 0.335
9 Cd 0.500 0.335 0.165
10 Cd 0.500 0.165 0.665

***

Most stable = run 2

***

Run 1
A PBEsol-optimized structure of BiPAuCl2. Source: Alexandria via LeMat-Bulk, functional meta-GGA SCAN.

a = 4.467 Å, b = 4.467 Å, c = 5.856 Å
α = 90.00°, β = 90.00°, γ = 90.00°
Atoms (fractional coordinates):
1 Cl 0.000 0.500 0.000
2 Cl 0.500 0.000 0.000
3 P 0.000 0.000 0.000
4 Au 0.500 0.500 0.500
5 Bi 0.000 0.000 0.500

***

Run 2
A PBEsol-optimized structure of BiPAuCl2. Source: Alexandria via LeMat-Bulk, functional meta-GGA SCAN.

a = 4.824 Å, b = 4.824 Å, c = 4.945 Å
α = 90.00°, β = 90.00°, γ = 90.00°
Atoms (fractional coordinates):
1 Au 0.000 0.000 0.000
2 P 0.000 0.000 0.500
3 Bi 0.500 0.500 0.500
4 Cl 0.500 0.000 0.000
5 Cl 0.000 0.500 0.000

***

Most stable = run 1

***

Run 1
A PBEsol-optimized structure of CoBi2Au. Source: Alexandria via LeMat-Bulk, functional meta-GGA SCAN.

a = 4.928 Å, b = 4.928 Å, c = 8.722 Å
α = 106.41°, β = 106.41°, γ = 90.00°
Atoms (fractional coordinates):
1 Bi 0.837 0.375 0.250
2 Bi 0.413 0.875 0.250
3 Bi 0.125 0.163 0.750
4 Bi 0.625 0.587 0.750
5 Co 0.750 0.250 0.500
6 Co 0.500 0.500 0.000
7 Au 0.000 0.000 0.000
8 Au 0.250 0.750 0.500

***

Run 2
A PBEsol-optimized structure of CoBi2Au. Source: Alexandria via LeMat-Bulk, functional meta-GGA SCAN.

a = 4.897 Å, b = 4.897 Å, c = 4.897 Å
α = 60.00°, β = 60.00°, γ = 60.00°
Atoms (fractional coordinates):
1 Bi 0.750 0.750 0.750
2 Bi 0.250 0.250 0.250
3 Au 0.500 0.500 0.500
4 Co 0.000 0.000 0.000

***

Most stable = run 1

***

Run 1
A PBEsol-optimized structure of AuBrCl2. Source: Alexandria via LeMat-Bulk, functional meta-GGA SCAN.

a = 3.632 Å, b = 4.047 Å, c = 7.875 Å
α = 90.00°, β = 90.00°, γ = 116.66°
Atoms (fractional coordinates):
1 Au 0.000 0.000 0.502
2 Br 0.500 0.000 0.721
3 Cl 0.000 0.000 0.971
4 Cl 0.500 0.000 0.305

***

Run 2
A PBEsol-optimized structure of AuBrCl2. Source: Alexandria via LeMat-Bulk, functional meta-GGA SCAN.

a = 3.846 Å, b = 4.625 Å, c = 5.767 Å
α = 90.00°, β = 90.00°, γ = 105.45°
Atoms (fractional coordinates):
1 Cl 0.484 0.181 0.500
2 Cl 0.008 0.067 0.000
3 Br 0.340 0.651 0.500
4 Au 0.169 0.601 0.000

***

Most stable = run 1

***

Run 1
A PBEsol-optimized structure of AuBrCl2. Source: Alexandria via LeMat-Bulk, functional meta-GGA SCAN.

a = 3.026 Å, b = 5.113 Å, c = 5.113 Å
α = 90.00°, β = 90.00°, γ = 90.00°
Atoms (fractional coordinates):
1 Cl 0.000 0.000 0.500
2 Cl 0.000 0.500 0.000
3 Br 0.500 0.000 0.000
4 Au 0.500 0.500 0.500

***

Run 2
A PBEsol-optimized structure of AuBrCl2. Source: Alexandria via LeMat-Bulk, functional meta-GGA SCAN.

a = 3.655 Å, b = 5.254 Å, c = 5.254 Å
α = 91.33°, β = 108.77°, γ = 108.77°
Atoms (fractional coordinates):
1 Cl 0.000 0.500 0.000
2 Cl 0.000 0.000 0.500
3 Au 0.000 0.500 0.500
4 Br 0.000 0.000 0.000

***

Run 3
A PBEsol-optimized structure of AuBrCl2. Source: Alexandria via LeMat-Bulk, functional meta-GGA SCAN.

a = 3.805 Å, b = 3.805 Å, c = 7.443 Å
α = 75.19°, β = 75.19°, γ = 60.00°
Atoms (fractional coordinates):
1 Cl 0.771 0.771 0.688
2 Cl 0.229 0.229 0.312
3 Br 0.000 0.000 0.000
4 Au 0.500 0.500 0.500

***

Most stable = run 3

***

Run 1
A PBEsol-optimized structure of AuBrCl2. Source: Alexandria via LeMat-Bulk, functional meta-GGA SCAN.

a = 3.461 Å, b = 5.611 Å, c = 5.611 Å
α = 75.14°, β = 72.03°, γ = 72.03°
Atoms (fractional coordinates):
1 Au 0.500 0.000 0.000
2 Cl 0.199 0.801 0.801
3 Cl 0.801 0.199 0.199
4 Br 0.000 0.500 0.500

***

Run 2
A PBEsol-optimized structure of AuBrCl2. Source: Alexandria via LeMat-Bulk, functional meta-GGA SCAN.

a = 3.263 Å, b = 3.263 Å, c = 7.894 Å
α = 90.00°, β = 90.00°, γ = 90.00°
Atoms (fractional coordinates):
1 Cl 0.000 0.000 0.974
2 Cl 0.500 0.500 0.306
3 Br 0.500 0.500 0.725
4 Au 0.000 0.000 0.494

***

Most stable = run 1

***

Run 1
A PBEsol-optimized structure of CrAu2Br. Source: Alexandria via LeMat-Bulk, functional meta-GGA SCAN.

a = 3.087 Å, b = 3.087 Å, c = 7.736 Å
α = 90.00°, β = 90.00°, γ = 90.00°
Atoms (fractional coordinates):
1 Au 0.000 0.000 0.290
2 Au 0.000 0.000 0.710
3 Br 0.500 0.500 0.000
4 Cr 0.500 0.500 0.500

***

Run 2
A PBEsol-optimized structure of CrAu2Br. Source: Alexandria via LeMat-Bulk, functional meta-GGA SCAN.

a = 3.190 Å, b = 4.670 Å, c = 6.393 Å
α = 103.40°, β = 90.00°, γ = 109.97°
Atoms (fractional coordinates):
1 Cr 0.216 0.432 0.823
2 Au 0.717 0.433 0.167
3 Au 0.960 0.919 0.976
4 Br 0.608 0.215 0.534

***

Run 3
A PBEsol-optimized structure of CrAu2Br. Source: Alexandria via LeMat-Bulk, functional meta-GGA SCAN.

a = 3.010 Å, b = 4.424 Å, c = 6.739 Å
α = 109.16°, β = 102.91°, γ = 90.00°
Atoms (fractional coordinates):
1 Au 0.785 0.285 0.571
2 Au 0.913 0.913 0.826
3 Cr 0.229 0.729 0.459
4 Br 0.572 0.572 0.145

***

Most stable = run 2

***

Run 1
A PBEsol-optimized structure of CrAuBr. Source: Alexandria via LeMat-Bulk, functional meta-GGA SCAN.

a = 3.480 Å, b = 3.480 Å, c = 5.838 Å
α = 90.00°, β = 90.00°, γ = 120.00°
Atoms (fractional coordinates):
1 Au 0.000 0.000 0.048
2 Br 0.667 0.333 0.616
3 Cr 0.333 0.667 0.336

***

Run 2
A PBEsol-optimized structure of CrAuBr. Source: Alexandria via LeMat-Bulk, functional meta-GGA SCAN.

a = 4.593 Å, b = 4.593 Å, c = 4.593 Å
α = 60.00°, β = 60.00°, γ = 60.00°
Atoms (fractional coordinates):
1 Br 0.000 0.000 0.000
2 Cr 0.500 0.500 0.500
3 Au 0.250 0.250 0.250

***

Most stable = run 1